Record 1
Material: Ho12CdCo6
Method: DFT, PBE-GGA
State: optimized geometry

Results
For the magnetic moment, the calculation gives 0.00 μB per cell. The formation energy is -229 meV per atom.

Cell lengths 9.600, 9.600, 9.600 Å; angles 90.00, 90.00, 90.00 degrees
Space group Im-3 (No. 204)
Symmetry-distinct sites (fractional):
Ho: 0.000 0.194 0.303
Cd: 0.000 0.000 0.000
Co: 0.000 0.386 0.500



Record 2
Material: Ho3Cd2Co2
Method: DFT, PBE-GGA
State: optimized geometry

Results
For the magnetic moment, the calculation gives 2.74 μB per cell. The formation energy is -281 meV per atom.

Cell lengths 3.797, 21.326, 3.813 Å; angles 90.00, 90.00, 90.00 degrees
Space group Cmmm (No. 65)
Symmetry-distinct sites (fractional):
Ho: 0.000 0.000 0.000
Ho: 0.000 0.176 0.000
Cd: 0.000 0.413 0.500
Co: 0.000 0.277 0.500



Record 3
Material: Ho7Cd2Co2
Method: DFT, PBE-GGA
State: optimized geometry

Results
For the magnetic moment, the calculation gives 0.00 μB per cell. The value obtained for the distance to the lowest polymorph of the same formula is 69 meV per atom. The formation energy is -123 meV per atom.

Cell lengths 7.722, 10.858, 7.030 Å; angles 90.00, 90.00, 90.00 degrees
Space group Cmmm (No. 65)
Symmetry-distinct sites (fractional):
Ho: 0.000 0.000 0.000
Ho: 0.000 0.500 0.233
Ho: 0.250 0.250 0.243
Cd: 0.179 0.000 0.500
Co: 0.000 0.292 0.000



Record 4
Material: Ho4CdCo
Method: DFT, PBE-GGA
State: optimized geometry

Results
For the magnetic moment, the calculation gives 0.00 μB per cell. The value obtained for the distance to the lowest polymorph of the same formula is 0 meV per atom. The formation energy is -258 meV per atom.

Cell lengths 13.356, 13.356, 13.356 Å; angles 90.00, 90.00, 90.00 degrees
Space group F-43m (No. 216)
Symmetry-distinct sites (fractional):
Ho: 0.000 0.000 0.188
Ho: 0.062 0.250 0.250
Ho: 0.154 0.154 0.654
Cd: 0.081 0.081 0.419
Co: 0.141 0.141 0.859